# Ac2TePt

An optimized crystal structure of Ac2TePt (GGA-PBE, the Alexandria database).

Unit cell a=4.439 b=4.439 c=16.342 alpha=90.00 beta=90.00 gamma=120.00
Fractional coordinates of all 8 atoms:
Ac (0.333, 0.667, 0.395)
Ac (0.667, 0.333, 0.895)
Ac (0.667, 0.333, 0.605)
Ac (0.333, 0.667, 0.105)
Te (0.667, 0.333, 0.250)
Te (0.333, 0.667, 0.750)
Pt (0.000, 0.000, 0.500)
Pt (0.000, 0.000, 0.000)

The energy above the most stable polymorph in this dataset comes out at 0.0000 eV per atom. Its crystal system is hexagonal. Its space-group type is P6_3/mmc. The value obtained for the total energy is -45.59 eV/cell. The density comes out at 9.3 Mg/m³. The calculation puts the density of states at the Fermi level at 2.56 states/eV per cell.